Material: HfSbPd2
Method: DFT, PBE
State: relaxed

Cell: 4.694 4.694 4.694 Å, 60.00 60.00 60.00°
Sites, in units of the cell vectors:
Pd: 0.750 0.750 0.750
Pd: 0.000 0.000 0.000
Hf: 0.250 0.250 0.250
Sb: 0.500 0.500 0.500

Computed properties:
Electronic total energy ... -6.59 eV per atom
Theoretical density ... 11.65 Mg/m³
Crystal system ... cubic

***

Material: Hf2SbPd
Method: DFT, PBE
State: relaxed

Cell: 4.864 4.864 4.864 Å, 60.00 60.00 60.00°
Sites, in units of the cell vectors:
Pd: 0.250 0.250 0.250
Hf: 0.750 0.750 0.750
Hf: 0.000 0.000 0.000
Sb: 0.500 0.500 0.500

Computed properties:
Electronic total energy ... -7.32 eV per atom
Theoretical density ... 11.94 Mg/m³
Crystal system ... cubic

***

Material: HfSbPd
Method: DFT, PBE
State: relaxed

Cell: 6.684 4.376 8.017 Å, 90.00 90.00 90.00°
Sites, in units of the cell vectors:
Pd: 0.832 0.750 0.074
Pd: 0.168 0.250 0.926
Pd: 0.668 0.250 0.574
Pd: 0.332 0.750 0.426
Sb: 0.740 0.750 0.396
Sb: 0.760 0.250 0.896
Sb: 0.260 0.250 0.604
Sb: 0.240 0.750 0.104
Hf: 0.981 0.750 0.702
Hf: 0.481 0.750 0.798
Hf: 0.519 0.250 0.202
Hf: 0.019 0.250 0.298

Computed properties:
Electronic total energy ... -7.01 eV per atom
Theoretical density ... 11.52 Mg/m³
Crystal system ... orthorhombic

***

Material: Hf2Sb3Pd
Method: DFT, PBE
State: relaxed

Cell: 3.948 3.948 8.590 Å, 90.00 90.00 90.00°
Sites, in units of the cell vectors:
Pd: 0.000 0.000 0.000
Sb: 0.500 0.500 0.000
Sb: 0.000 0.500 0.380
Sb: 0.500 0.000 0.620
Hf: 0.500 0.000 0.261
Hf: 0.000 0.500 0.739

Computed properties:
Electronic total energy ... -6.74 eV per atom
Theoretical density ... 10.28 Mg/m³
Crystal system ... tetragonal

***

> Number 4 is which compound?

Hf2Sb3Pd

***

> Which of these has the lowest electronic total energy?

Hf2SbPd

***

> Number 4 is which compound?

Hf2Sb3Pd

***

> The lowest theoretical density belongs to which entry?

Hf2Sb3Pd